5
Lattice="-1.401 -3.612 -2.730 5.033 -2.474 0.690 -1.951 -2.695 4.567" Properties=species:S:1:pos:R:3 comment="La2TaAlCd SCAN single point on PBEsol structure" rho_g_cm3=6.6 e_tot_ev_per_atom=-37.323 pbc="T T T"
La 2.516 -1.237 0.345
Ta 0.840 -4.390 1.263
Cd -0.701 -1.806 -1.365
Al 0.000 0.000 0.000
La -0.975 -1.347 2.283